# Sr2FeSi2

Crystalline Sr2FeSi2 at its relaxed geometry (PBE, the Alexandria database).

The value obtained for the total DFT energy (no corrections) is -4.4820 eV/atom. Its volume is 21.91 Å³/atom.

It has space group P4/mbm (No. 127), with a = 6.6639 Å, b = 6.6639 Å, c = 4.9332 Å, α = 90.00°, β = 90.00° and γ = 90.00°. The asymmetric unit holds Sr at (0.1768, 0.3232, 0.0000), Fe at (0.0000, 0.0000, 0.5000) and Si at (0.1369, 0.6369, 0.5000).